## InTcNi2 (PBE)

Data for a geometry-optimized InTcNi2 structure.

abc: 4.748 4.748 4.748
angles: 132.41 132.41 69.58
Last column: magnetic moment on the atom in μB.
Positions (direct):
In1 0.750 0.250 0.500  -0.02
Tc1 0.500 0.500 0.000  1.08
Ni1 0.000 0.000 0.000  0.41
Ni2 0.250 0.750 0.500  0.54

Calculated values
Calculated density: 9.58 g/cm3
E_form: 0.87 eV/f.u.
Crystal system: tetragonal



## AcSm8Y2 (PBE)

Data for a geometry-optimized AcSm8Y2 structure.

abc: 6.067 9.315 9.711
angles: 61.59 73.32 53.10
Positions (direct):
Sm1 0.499 0.792 0.413
Sm2 0.799 0.099 0.249
Sm3 0.711 0.556 0.003
Y1 0.996 0.690 0.623
Ac1 0.500 0.000 0.000
Y2 0.004 0.310 0.377
Sm4 0.197 0.651 0.250
Sm5 0.803 0.349 0.750
Sm6 0.501 0.208 0.587
Sm7 0.201 0.901 0.751
Sm8 0.289 0.444 0.997

Calculated values
Calculated density: 6.92 g/cm3
E_form: 1.56 eV/f.u.
Crystal system: triclinic



## CeNpAl (PBE)

Data for a geometry-optimized CeNpAl structure.

abc: 3.419 5.255 7.444
angles: 98.50 90.00 90.00
Last column: magnetic moment on the atom in μB.
Positions (direct):
Al1 0.750 0.966 0.857  -0.01
Al2 0.250 0.034 0.143  -0.01
Ce1 0.250 0.457 0.816  0.06
Np1 0.750 0.159 0.487  0.94
Np2 0.250 0.841 0.513  0.94
Ce2 0.750 0.543 0.184  0.06

Calculated values
Calculated density: 10.15 g/cm3
E_form: -0.03 eV/f.u.
Crystal system: monoclinic



Among the records above, which one has the lowest E_form?
CeNpAl



Among the records above, which one has the lowest calculated density?
AcSm8Y2



Copy entry 2 word for word.
## AcSm8Y2 (PBE)

Data for a geometry-optimized AcSm8Y2 structure.

abc: 6.067 9.315 9.711
angles: 61.59 73.32 53.10
Positions (direct):
Sm1 0.499 0.792 0.413
Sm2 0.799 0.099 0.249
Sm3 0.711 0.556 0.003
Y1 0.996 0.690 0.623
Ac1 0.500 0.000 0.000
Y2 0.004 0.310 0.377
Sm4 0.197 0.651 0.250
Sm5 0.803 0.349 0.750
Sm6 0.501 0.208 0.587
Sm7 0.201 0.901 0.751
Sm8 0.289 0.444 0.997

Calculated values
Calculated density: 6.92 g/cm3
E_form: 1.56 eV/f.u.
Crystal system: triclinic



E_form of number 3 (CeNpAl)?
-0.03 eV/f.u.